Al5Zn3Ag4, relaxed, DFT PBE; DOS at the Fermi energy = 3.583 states/eV/cell; volume = 216.1 Å³/cell; ΔH_f (0 K) = 0.14 eV per atom
1.0
6.669 -2.331 0.000
6.669 2.331 0.000
-5.308 0.000 6.952
Al Zn Ag
5 3 4
Cartesian
0.000 0.000 0.000
4.176 0.000 0.148
2.710 0.000 4.289
5.320 0.000 2.662
3.854 0.000 6.804
2.072 0.000 1.696
6.669 0.000 0.000
5.959 0.000 5.256
-2.544 0.000 4.906
-0.113 0.000 3.247
8.143 0.000 3.705
10.575 0.000 2.046


AlZnAg, relaxed, DFT PBE; DOS at the Fermi energy = 2.176 states/eV/cell; volume = 56.7 Å³/cell; ΔH_f (0 K) = 0.14 eV per atom
1.0
0.000 3.049 3.049
3.049 0.000 3.049
3.049 3.049 0.000
Al Zn Ag
1 1 1
Cartesian
0.000 0.000 0.000
4.573 4.573 4.573
1.524 1.524 1.524


AlZn5Ag4, relaxed, DFT PBE; DOS at the Fermi energy = 3.645 states/eV/cell; volume = 341.3 Å³/cell; ΔH_f (0 K) = 0.05 eV per atom
1.0
7.932 0.000 0.000
0.000 8.946 0.000
0.000 0.000 4.809
Al Zn Ag
2 10 8
Cartesian
1.983 2.236 1.046
5.949 6.709 3.763
0.644 0.005 1.107
0.644 4.468 1.107
1.983 6.709 0.123
3.323 0.005 1.107
3.323 4.468 1.107
4.610 4.478 3.702
4.610 8.941 3.702
5.949 2.236 4.686
7.289 4.478 3.702
7.289 8.941 3.702
0.516 6.709 2.559
1.983 0.626 3.519
1.983 3.847 3.519
3.450 6.709 2.559
4.483 2.236 2.250
5.949 5.099 1.290
5.949 8.320 1.290
7.416 2.236 2.250


AlZn5Ag2, relaxed, DFT PBE; DOS at the Fermi energy = 4.811 states/eV/cell; volume = 254.4 Å³/cell; ΔH_f (0 K) = 0.02 eV per atom
1.0
5.568 0.000 0.000
0.000 12.037 0.000
0.000 0.000 3.796
Al Zn Ag
2 10 4
Cartesian
0.000 0.000 0.000
2.784 6.018 0.000
0.000 6.018 0.000
0.004 3.009 0.000
1.383 7.553 1.898
1.401 1.534 1.898
2.780 9.027 0.000
2.784 0.000 0.000
2.788 3.010 0.000
4.167 10.503 1.898
4.185 4.484 1.898
5.564 9.028 0.000
1.381 10.533 1.898
1.403 4.515 1.898
4.165 7.522 1.898
4.187 1.504 1.898


Al4ZnAg5, relaxed, DFT PBE; DOS at the Fermi energy = 3.202 states/eV/cell; volume = 177.3 Å³/cell; ΔH_f (0 K) = 0.04 eV per atom
1.0
6.778 -1.521 0.000
6.778 1.521 0.000
-0.034 0.000 8.602
Al Zn Ag
4 1 5
Cartesian
0.119 0.000 2.134
4.510 0.000 2.120
9.013 0.000 6.483
13.403 0.000 6.468
6.778 0.000 0.000
2.263 0.000 0.434
2.347 0.000 3.686
6.761 0.000 4.301
11.176 0.000 4.916
11.259 0.000 8.168


AlZn4Ag6, relaxed, DFT PBE; DOS at the Fermi energy = 4.154 states/eV/cell; volume = 214.8 Å³/cell; ΔH_f (0 K) = 0.19 eV per atom
1.0
-3.424 3.424 4.580
3.424 -3.424 4.580
3.424 3.424 -4.580
Al Zn Ag
1 4 6
Cartesian
0.000 0.000 0.000
2.235 2.235 -0.501
1.189 -1.189 5.081
1.189 1.189 4.078
-1.189 1.189 5.081
3.424 0.000 0.000
1.000 -1.000 2.354
-1.000 1.000 2.354
0.000 3.424 0.000
2.424 2.424 2.225
1.000 1.000 6.805


Al2ZnAg, relaxed, DFT PBE; DOS at the Fermi energy = 1.284 states/eV/cell; volume = 68.3 Å³/cell; ΔH_f (0 K) = 0.07 eV per atom
1.0
1.397 -2.609 0.000
1.397 2.609 0.000
0.000 0.000 9.369
Al Zn Ag
2 1 1
Cartesian
0.000 0.000 2.295
0.000 0.000 7.075
1.397 0.000 0.000
1.397 0.000 4.685


Al6Zn3Ag, relaxed, DFT PBE; DOS at the Fermi energy = 4.747 states/eV/cell; volume = 338.1 Å³/cell; ΔH_f (0 K) = 0.07 eV per atom
1.0
3.869 -7.838 0.000
3.869 7.838 0.000
0.000 0.000 5.575
Al Zn Ag
12 6 2
Cartesian
3.869 7.683 2.788
2.439 3.432 5.191
2.373 0.781 4.045
3.869 3.032 2.773
2.373 -0.781 1.258
5.299 3.432 5.191
2.439 -3.432 2.404
5.365 0.781 4.045
3.869 -3.032 5.561
5.365 -0.781 1.258
5.299 -3.432 2.404
3.869 -7.683 0.000
1.470 1.841 1.639
1.470 -1.841 4.427
3.869 1.352 0.665
3.869 -1.352 3.453
6.269 1.841 1.639
6.269 -1.841 4.427
3.869 5.377 1.251
3.869 -5.377 4.039


Al3Zn2Ag6, relaxed, DFT PBE; DOS at the Fermi energy = 4.062 states/eV/cell; volume = 184.9 Å³/cell; ΔH_f (0 K) = -0.02 eV per atom
1.0
1.466 0.847 24.828
-1.466 0.847 24.828
0.000 -1.693 24.828
Al Zn Ag
3 2 6
Cartesian
0.000 0.000 0.000
0.000 0.000 20.317
0.000 0.000 54.167
0.000 0.000 33.821
0.000 0.000 40.662
0.000 0.000 6.745
0.000 0.000 13.627
0.000 0.000 27.082
0.000 0.000 47.402
0.000 0.000 60.856
0.000 0.000 67.738


AlZn5Ag4, relaxed, DFT PBE; DOS at the Fermi energy = 2.873 states/eV/cell; volume = 161.8 Å³/cell; ΔH_f (0 K) = -0.01 eV per atom
1.0
2.874 0.000 0.000
0.000 2.874 0.000
0.000 0.000 19.585
Al Zn Ag
1 5 4
Cartesian
0.000 0.000 0.000
1.437 1.437 1.922
1.437 1.437 5.891
1.437 1.437 9.793
1.437 1.437 13.694
1.437 1.437 17.663
0.000 0.000 3.938
0.000 0.000 7.843
0.000 0.000 11.742
0.000 0.000 15.647


Al8ZnAg5, relaxed, DFT PBE; DOS at the Fermi energy = 4.415 states/eV/cell; volume = 247.4 Å³/cell; ΔH_f (0 K) = 0.06 eV per atom
1.0
-3.960 3.960 3.943
3.960 -3.960 3.943
3.960 3.960 -3.943
Al Zn Ag
8 1 5
Cartesian
3.462 2.644 -2.540
3.044 1.531 -0.005
0.499 1.316 1.404
2.430 -0.916 3.948
1.531 4.877 0.005
1.316 -0.499 6.483
0.916 2.430 3.939
2.644 4.459 2.540
0.000 0.000 3.943
2.324 -0.761 1.236
4.721 -1.636 2.708
5.597 0.761 1.236
3.199 1.636 2.708
0.000 3.960 1.972


Al8ZnAg2, relaxed, DFT PBE; DOS at the Fermi energy = 2.847 states/eV/cell; volume = 206.0 Å³/cell; ΔH_f (0 K) = 0.11 eV per atom
1.0
5.690 -3.864 0.000
5.690 3.864 0.000
-1.016 0.000 4.685
Al Zn Ag
8 1 2
Cartesian
0.708 0.000 3.898
4.257 2.330 3.343
6.107 2.330 1.342
2.587 0.000 1.869
7.776 0.000 2.816
4.257 -2.330 3.343
6.107 -2.330 1.342
9.656 0.000 0.787
5.182 0.000 2.342
3.265 0.000 4.468
7.099 0.000 0.216


Al2Zn3Ag, relaxed, DFT PBE; DOS at the Fermi energy = 4.252 states/eV/cell; volume = 194.2 Å³/cell; ΔH_f (0 K) = 0.03 eV per atom
1.0
4.865 0.000 0.000
0.000 7.992 0.000
0.000 0.000 4.995
Al Zn Ag
4 6 2
Cartesian
0.000 0.649 0.000
0.000 7.344 2.497
2.433 2.006 4.280
2.433 5.986 1.783
0.000 1.981 2.517
0.000 3.327 0.072
0.000 4.666 2.569
0.000 6.011 0.020
2.433 0.603 1.817
2.433 7.389 4.314
2.433 3.270 1.801
2.433 4.723 4.299


Al2Zn3Ag, relaxed, DFT PBE; DOS at the Fermi energy = 4.173 states/eV/cell; volume = 202.6 Å³/cell; ΔH_f (0 K) = 0.04 eV per atom
1.0
2.782 -3.594 0.000
2.782 3.594 0.000
-1.208 0.000 10.132
Al Zn Ag
4 6 2
Cartesian
0.990 1.830 8.904
2.762 1.830 6.295
1.595 -1.830 3.837
3.366 -1.830 1.229
2.480 3.148 2.533
0.803 0.480 5.039
0.199 -0.480 10.106
4.158 0.480 0.027
3.553 -0.480 5.093
1.876 -3.148 7.599
2.480 0.389 2.533
1.876 -0.389 7.599


Al2ZnAg, relaxed, DFT PBE; DOS at the Fermi energy = 0.720 states/eV/cell; volume = 66.9 Å³/cell; ΔH_f (0 K) = 0.00 eV per atom
1.0
4.696 -1.562 0.000
4.696 1.562 0.000
-0.508 0.000 4.558
Al Zn Ag
2 1 1
Cartesian
0.000 0.000 0.000
6.897 0.000 1.159
4.447 0.000 2.238
1.980 0.000 3.435


Al3ZnAg, relaxed, DFT PBE; DOS at the Fermi energy = 2.795 states/eV/cell; volume = 116.3 Å³/cell; ΔH_f (0 K) = 0.55 eV per atom
1.0
4.881 0.000 0.000
0.000 4.881 0.000
0.000 0.000 4.881
Al Zn Ag
3 1 1
Cartesian
0.000 0.000 2.440
0.000 2.440 0.000
2.440 0.000 0.000
2.440 2.440 2.440
0.000 0.000 0.000


AlZn2Ag, relaxed, DFT PBE; DOS at the Fermi energy = 0.865 states/eV/cell; volume = 64.3 Å³/cell; ΔH_f (0 K) = 0.02 eV per atom
1.0
-2.000 2.000 4.021
2.000 -2.000 4.021
2.000 2.000 -4.021
Al Zn Ag
1 2 1
Cartesian
0.000 0.000 0.000
2.000 0.000 2.011
0.000 0.000 4.021
0.000 2.000 2.011


AlZn2Ag2, relaxed, DFT PBE; DOS at the Fermi energy = 3.107 states/eV/cell; volume = 172.2 Å³/cell; ΔH_f (0 K) = 0.09 eV per atom
1.0
7.570 0.000 0.000
0.000 7.570 0.000
0.000 0.000 3.005
Al Zn Ag
2 4 4
Cartesian
0.000 0.000 0.000
3.785 3.785 0.000
1.231 2.554 1.502
2.554 6.339 1.502
5.016 1.231 1.502
6.339 5.016 1.502
1.038 4.823 0.000
2.747 1.038 0.000
4.823 6.532 0.000
6.532 2.747 0.000


Al6Zn5Ag, relaxed, DFT PBE; DOS at the Fermi energy = 3.218 states/eV/cell; volume = 194.1 Å³/cell; ΔH_f (0 K) = 0.03 eV per atom
1.0
2.009 -6.085 0.000
2.009 6.085 0.000
-0.357 0.000 7.937
Al Zn Ag
6 5 1
Cartesian
1.732 4.049 5.945
1.930 4.049 1.992
1.728 0.000 5.925
1.933 0.000 2.012
1.732 -4.049 5.945
1.930 -4.049 1.992
-0.178 0.000 3.968
2.009 2.049 0.000
1.831 2.022 3.968
1.831 -2.022 3.968
2.009 -2.049 0.000
0.000 0.000 0.000


Al5Zn2Ag12, relaxed, DFT PBE; DOS at the Fermi energy = 3.496 states/eV/cell; volume = 331.9 Å³/cell; ΔH_f (0 K) = 0.00 eV per atom
1.0
6.739 -3.627 0.000
6.739 3.627 0.000
-0.655 0.000 6.791
Al Zn Ag
5 2 12
Cartesian
0.000 0.000 0.000
3.172 0.000 0.185
4.233 0.000 3.935
8.591 0.000 2.856
9.651 0.000 6.605
6.412 2.279 3.395
6.412 -2.279 3.395
3.945 2.051 2.025
1.798 0.000 2.421
4.710 1.467 6.259
8.113 1.467 0.532
8.878 2.051 4.765
6.005 0.000 1.906
6.818 0.000 4.884
3.945 -2.051 2.025
4.710 -1.467 6.259
8.113 -1.467 0.532
11.026 0.000 4.370
8.878 -2.051 4.765


Al6ZnAg8, relaxed, DFT PBE; DOS at the Fermi energy = 5.797 states/eV/cell; volume = 273.0 Å³/cell; ΔH_f (0 K) = 0.01 eV per atom
1.0
7.577 0.000 0.000
-3.788 6.562 0.000
0.000 0.000 5.492
Al Zn Ag
6 1 8
Cartesian
-2.406 4.433 0.815
1.152 2.261 0.815
2.535 0.133 4.677
1.254 6.429 0.815
2.636 4.300 4.677
6.194 2.129 4.677
0.000 0.000 0.000
-2.491 4.445 3.506
1.184 2.182 3.506
2.482 0.065 1.986
0.000 4.374 5.050
3.788 2.187 0.441
1.306 6.496 3.506
2.604 4.379 1.986
6.279 2.117 1.986